First-principles (GGA+U) data for an optimized crystal structure of TcMo2O, as listed in Alexandria.

Cell and atoms, written as extended XYZ:
```
8
Lattice="-1.2911 -2.8324 4.4180 4.8099 1.1812 2.1629 -0.1194 3.1563 5.2942" Properties=species:S:1:pos:R:3 pbc="T T T"
Mo 1.5804 1.8340 6.5960
Mo 2.6390 0.8363 9.5714
Mo -0.1415 -0.6272 4.0333
Mo 2.7209 0.9669 3.5494
O 1.7594 -0.8256 3.2904
O 3.2250 1.7559 5.3738
Tc 0.0000 0.0000 0.0000
Tc 0.1745 -0.2509 6.5013
```

Output
Magnetization (μB/f.u.): 2.10
Calculated total energy (eV/atom): -6.755
Space-group type: No. 122